VASP calculation (GGA+U) on a relaxed AcVHgO5 crystal.

Results
**Final energy**: -0.2423 hartree per atom
**Symmetry**: No. 15

Unit cell a=6.4741 b=6.4741 c=9.0080 alpha=109.65 beta=109.65 gamma=92.19
Closest atoms and distances in Å follow each position.
Fractional positions:
1 O 0.7289 0.2320 0.3947  1 V 1.72
2 O 0.7680 0.2711 0.1053  1 V 1.72
3 O 0.2320 0.7289 0.8947  1 V 1.72
4 O 0.7037 0.6544 0.3528  1 V 1.78
5 O 0.6544 0.7037 0.8528  1 V 1.78
6 O 0.1075 0.8925 0.2500  1 Hg 2.04
7 O 0.8925 0.1075 0.7500  1 Hg 2.04
8 O 0.2963 0.3456 0.6472  1 V 1.78
9 O 0.3456 0.2963 0.1472  1 V 1.78
10 O 0.2711 0.7680 0.6053  1 V 1.72
11 Hg 0.6740 0.3260 0.7500  1 O 2.04
12 Hg 0.3260 0.6740 0.2500  1 O 2.04
13 Ac 0.0000 0.0000 0.0000  6 O 2.47-2.53
14 Ac 0.0000 0.0000 0.5000  6 O 2.47-2.53
15 V 0.6414 0.3586 0.2500  4 O 1.72-1.78
16 V 0.3586 0.6414 0.7500  4 O 1.72-1.78